Entry 1:
# RhPbSeO5, relaxed, DFT PBE
data_RhPbSeO5
_chemical_formula_sum 'Rh4 Pb4 Se4 O20'
_cell_length_a 6.5169
_cell_length_b 9.5280
_cell_length_c 9.2021
_cell_angle_alpha 90.00
_cell_angle_beta 106.72
_cell_angle_gamma 90.00
_symmetry_space_group_name_H-M 'C 1 2/c 1'
_symmetry_Int_Tables_number 15
_symmetry_space_group_name_Hall '-C 2yc'
loop_
_atom_site_label
_atom_site_type_symbol
_atom_site_fract_x
_atom_site_fract_y
_atom_site_fract_z
Rh1 Rh 0.0000 0.2097 0.2500
Pb1 Pb 0.0000 0.5000 0.0000
Se1 Se 0.0000 0.1844 0.7500
O1 O 0.0000 0.4028 0.2500
O2 O 0.1117 0.0812 0.8995
O3 O 0.1776 0.3071 0.7061
# uncorrected formation energy: -513 meV/atom
# theoretical density: 5.69 Mg/m³
# D(E_F): 19.38 states/eV per cell
# electronic total energy: -43.44 eV per formula unit

Entry 2:
# SiRhPbO2, relaxed, DFT PBE
data_SiRhPbO2
_chemical_formula_sum 'Si1 Rh1 Pb1 O2'
_cell_length_a 3.6354
_cell_length_b 3.6354
_cell_length_c 5.2735
_cell_angle_alpha 90.00
_cell_angle_beta 90.00
_cell_angle_gamma 90.00
_symmetry_space_group_name_H-M 'P 4/m m m'
_symmetry_Int_Tables_number 123
_symmetry_space_group_name_Hall '-P 4 2'
loop_
_atom_site_label
_atom_site_type_symbol
_atom_site_fract_x
_atom_site_fract_y
_atom_site_fract_z
Si1 Si 0.0000 0.0000 0.0000
Rh1 Rh 0.0000 0.0000 0.5000
Pb1 Pb 0.5000 0.5000 0.5000
O1 O 0.0000 0.5000 0.0000
# uncorrected formation energy: -787 meV/atom
# theoretical density: 8.82 Mg/m³
# D(E_F): 1.59 states/eV per cell
# electronic total energy: -30.33 eV per formula unit

Entry 3:
# SnRhPbO6, relaxed, DFT PBE
data_SnRhPbO6
_chemical_formula_sum 'Sn2 Rh2 Pb2 O12'
_cell_length_a 4.8210
_cell_length_b 4.8210
_cell_length_c 9.8839
_cell_angle_alpha 90.00
_cell_angle_beta 90.00
_cell_angle_gamma 90.00
_symmetry_space_group_name_H-M 'P 42 n m'
_symmetry_Int_Tables_number 102
_symmetry_space_group_name_Hall 'P 4n -2n'
loop_
_atom_site_label
_atom_site_type_symbol
_atom_site_fract_x
_atom_site_fract_y
_atom_site_fract_z
Sn1 Sn 0.0000 0.0000 0.0000
Rh1 Rh 0.0000 0.0000 0.3342
Pb1 Pb 0.0000 0.0000 0.6672
O1 O 0.1804 0.1804 0.1718
O2 O 0.1928 0.1928 0.4886
O3 O 0.2064 0.2064 0.8407
# uncorrected formation energy: -1015 meV/atom
# theoretical density: 7.59 Mg/m³
# D(E_F): 5.38 states/eV per cell
# electronic total energy: -53.94 eV per formula unit